First-principles (SCAN) data for a PBEsol-optimized structure of Zr2TiNi2, as listed in Alexandria.

```
data_Zr2TiNi2
_chemical_formula_sum 'Zr4 Ti2 Ni4'
_cell_length_a 7.091
_cell_length_b 7.091
_cell_length_c 3.236
_cell_angle_alpha 90.00
_cell_angle_beta 90.00
_cell_angle_gamma 90.00
_symmetry_space_group_name_H-M 'P 4/m b m'
_symmetry_Int_Tables_number 127
_symmetry_space_group_name_Hall '-P 4 2ab'
loop_
_atom_site_label
_atom_site_fract_x
_atom_site_fract_y
_atom_site_fract_z
Zr1 0.173 0.327 0.000
Ti1 0.000 0.000 0.500
Ni1 0.125 0.625 0.500
```

=====

First-principles (SCAN) data for a PBEsol-optimized structure of TiCr2Co, as listed in Alexandria.

```
data_TiCr2Co
_chemical_formula_sum 'Ti4 Cr8 Co4'
_cell_length_a 5.743
_cell_length_b 5.743
_cell_length_c 5.743
_cell_angle_alpha 90.00
_cell_angle_beta 90.00
_cell_angle_gamma 90.00
_symmetry_space_group_name_H-M 'F m -3 m'
_symmetry_Int_Tables_number 225
_symmetry_space_group_name_Hall '-F 4 2 3'
loop_
_atom_site_label
_atom_site_fract_x
_atom_site_fract_y
_atom_site_fract_z
Ti1 0.000 0.000 0.000
Cr1 0.250 0.250 0.250
Co1 0.000 0.000 0.500
```

=====

# SrZrOs2 SCAN single point on PBEsol structure
data_SrZrOs2
_chemical_formula_sum 'Sr2 Zr2 Os4'
_cell_length_a 10.410
_cell_length_b 3.110
_cell_length_c 5.251
_cell_angle_alpha 90.00
_cell_angle_beta 106.71
_cell_angle_gamma 90.00
_symmetry_space_group_name_H-M 'C 1 m 1'
_symmetry_Int_Tables_number 8
_symmetry_space_group_name_Hall 'C -2y'
loop_
_atom_site_label
_atom_site_fract_x
_atom_site_fract_y
_atom_site_fract_z
Sr1 0.000 0.000 0.000
Zr1 0.201 0.000 0.675
Os1 0.273 0.500 0.336
Os2 0.477 0.000 0.469
# Excess energy over the best structure of this formula in the dataset ... 14 meV/atom

=====

# Al2FeTe SCAN single point on PBEsol structure
data_Al2FeTe
_chemical_formula_sum 'Al4 Fe2 Te2'
_cell_length_a 5.198
_cell_length_b 7.704
_cell_length_c 3.378
_cell_angle_alpha 90.00
_cell_angle_beta 90.00
_cell_angle_gamma 90.00
_symmetry_space_group_name_H-M 'C m m m'
_symmetry_Int_Tables_number 65
_symmetry_space_group_name_Hall '-C 2 2'
loop_
_atom_site_label
_atom_site_fract_x
_atom_site_fract_y
_atom_site_fract_z
Al1 0.250 0.250 0.000
Fe1 0.000 0.000 0.500
Te1 0.000 0.500 0.500
# ΔE_f (raw) ... 0.304 eV per atom

=====

no.,energy (eV per atom)
1,-22.302
2,-17.309
3,-48.845
4,-17.417